1.
An optimized crystal structure of Ti2ReGe2. Source: Alexandria, functional GGA-PBEsol.

Values from the calculation:
The value obtained for the formation energy is -2.7 eV/f.u.

Cell: 3.5190 6.5141 6.5141 Å, 90.00 90.00 90.00°
Positions (direct):
Ge1 0.0000 0.8649 0.6351
Ge2 0.0000 0.3649 0.8649
Ge3 0.0000 0.1351 0.3649
Ge4 0.0000 0.6351 0.1351
Ti1 0.5000 0.3323 0.1677
Ti2 0.5000 0.6677 0.8323
Ti3 0.5000 0.8323 0.3323
Ti4 0.5000 0.1677 0.6677
Re1 0.0000 0.5000 0.5000
Re2 0.0000 0.0000 0.0000

2.
An optimized crystal structure of Ti2NbHgSb. Source: Alexandria, functional GGA-PBEsol.

Values from the calculation:
For the formation energy (no corrections), the calculation gives 1.305 eV per atom.

Cell: 4.8923 4.8923 5.0725 Å, 90.00 90.00 90.00°
Positions (direct):
Sb1 0.0000 0.0000 0.0000
Hg1 0.0000 0.0000 0.5000
Nb1 0.5000 0.5000 0.5000
Ti1 0.0000 0.5000 0.0000
Ti2 0.5000 0.0000 0.0000

3.
An optimized crystal structure of CsTlS2. Source: Alexandria, functional GGA-PBEsol.

Values from the calculation:
For the formation energy (no corrections), the calculation gives -0.394 eV per atom.

Cell: 5.4346 5.4346 8.3464 Å, 71.00 71.00 60.00°
Positions (direct):
Tl1 0.0000 0.0000 0.0000
S1 0.0981 0.0981 0.7056
S2 0.9019 0.9019 0.2944
Cs1 0.5000 0.5000 0.5000

4.
An optimized crystal structure of Sr3ScHg. Source: Alexandria, functional GGA-PBEsol.

Values from the calculation:
The value obtained for the formation energy is 1.2 eV/f.u.

Cell: 6.0772 6.0772 6.0772 Å, 90.00 90.00 90.00°
Positions (direct):
Sr1 0.0000 0.0000 0.5000
Sr2 0.0000 0.5000 0.0000
Sr3 0.5000 0.0000 0.0000
Sc1 0.5000 0.5000 0.5000
Hg1 0.0000 0.0000 0.0000

5.
An optimized crystal structure of La2Ge2Ir. Source: Alexandria, functional GGA-PBEsol.

Values from the calculation:
The value obtained for the formation energy is -4.0 eV/f.u.

Cell: 4.7780 6.6955 6.6955 Å, 90.00 90.00 90.00°
Positions (direct):
Ir1 0.0000 0.5000 0.5000
Ir2 0.0000 0.0000 0.0000
Ge1 0.0000 0.6354 0.1354
Ge2 0.0000 0.3646 0.8646
Ge3 0.0000 0.1354 0.3646
Ge4 0.0000 0.8646 0.6354
La1 0.5000 0.3247 0.1753
La2 0.5000 0.6753 0.8247
La3 0.5000 0.1753 0.6753
La4 0.5000 0.8247 0.3247

6.
An optimized crystal structure of KBaScH2. Source: Alexandria, functional GGA-PBEsol.

Cell: 4.4277 4.4277 6.1807 Å, 90.00 90.00 90.00°
Positions (direct):
H1 0.0000 0.5000 0.0000
H2 0.5000 0.0000 0.0000
Ba1 0.0000 0.0000 0.5000
Sc1 0.0000 0.0000 0.0000
K1 0.5000 0.5000 0.5000

7.
An optimized crystal structure of SrLi2Cl. Source: Alexandria, functional GGA-PBEsol.

Values from the calculation:
For the formation energy (no corrections), the calculation gives -0.550 eV per atom.

Cell: 4.3969 4.7172 5.8355 Å, 90.00 90.00 90.00°
Positions (direct):
Cl1 0.5000 0.5000 0.5000
Li1 0.0000 0.0000 0.7548
Li2 0.0000 0.0000 0.2452
Sr1 0.5000 0.5000 0.0000

8.
An optimized crystal structure of SrLiP2. Source: Alexandria, functional GGA-PBEsol.

Values from the calculation:
The value obtained for the formation energy is -1.8 eV/f.u. For the energy above the most stable polymorph in this dataset, the calculation gives 181.0 meV/atom.

Cell: 4.1693 4.3180 4.3180 Å, 90.00 90.00 90.00°
Positions (direct):
P1 0.0000 0.5000 0.0000
P2 0.0000 0.0000 0.5000
Sr1 0.5000 0.5000 0.5000
Li1 0.5000 0.0000 0.0000

no.,electronic total energy (eV per atom)
1,-8.51
2,-5.21
3,-3.48
4,-2.30
5,-6.88
6,-2.69
7,-2.50
8,-4.30